Entry 1:
VASP calculation (GGA-PBE) on a relaxed structure of Rh2PbW.

Values from the calculation:
Space-group type: I-4m2 (119)
Theoretical density (g/cm³): 14.835
D(E_F) (states/eV/f.u.): 3.342
Total magnetization (Bohr magnetons per cell): 0.0
Calculated formation energy (eV/atom): 0.3552

```
Rh2PbW
1.0
-2.028 2.028 4.060
2.028 -2.028 4.060
2.028 2.028 -4.060
Rh Pb W
2 1 1
Direct
0.000 0.000 0.000
0.750 0.250 0.500
0.500 0.500 0.000
0.250 0.750 0.500
```

---

Entry 2:
VASP calculation (GGA-PBE) on a relaxed structure of Sc6In3Pt.

Values from the calculation:
Space-group type: P2_1/m (11)
Theoretical density (g/cm³): 6.030
D(E_F) (states/eV/f.u.): 11.485
Total magnetization (Bohr magnetons per cell): 0.0
Calculated formation energy (eV/atom): -0.5261

```
Sc6In3Pt
1.0
8.550 0.000 0.000
0.000 4.901 0.000
-3.002 0.000 10.637
Sc In Pt
12 6 2
Direct
0.040 0.250 0.417
0.180 0.750 0.163
0.310 0.250 0.007
0.343 0.750 0.803
0.359 0.250 0.318
0.400 0.250 0.612
0.600 0.750 0.388
0.641 0.750 0.682
0.657 0.250 0.197
0.690 0.750 0.993
0.820 0.250 0.837
0.960 0.750 0.583
0.022 0.750 0.883
0.120 0.250 0.723
0.272 0.750 0.465
0.728 0.250 0.535
0.880 0.750 0.277
0.978 0.250 0.117
0.484 0.750 0.145
0.516 0.250 0.855
```

---

Entry 3:
VASP calculation (GGA-PBE) on a relaxed structure of TaPb2Au.

Values from the calculation:
Energy relative to the lowest polymorph listed for this composition (meV/atom): 285
Space-group type: R-3m (166)
Theoretical density (g/cm³): 14.356
D(E_F) (states/eV/f.u.): 3.370
Total magnetization (Bohr magnetons per cell): 0.0
Calculated formation energy (eV/atom): 0.4445

```
TaPb2Au
1.0
1.644 0.949 9.783
-1.644 0.949 9.783
0.000 -1.899 9.783
Ta Pb Au
1 2 1
Direct
0.000 0.000 0.000
0.250 0.250 0.250
0.750 0.750 0.750
0.500 0.500 0.500
```

---

Entry 4:
VASP calculation (GGA-PBE) on a relaxed structure of PuGe4Pd2Pt.

Values from the calculation:
Space-group type: R-3m (166)
Theoretical density (g/cm³): 11.046
D(E_F) (states/eV/f.u.): 11.487
Total magnetization (Bohr magnetons per cell): 5.2
Calculated formation energy (eV/atom): -0.3692

```
PuGe4Pd2Pt
1.0
2.193 1.266 8.501
-2.193 1.266 8.501
0.000 -2.533 8.501
Pu Ge Pd Pt
1 4 2 1
Direct
0.000 0.000 0.000
0.126 0.126 0.126
0.393 0.393 0.393
0.607 0.607 0.607
0.874 0.874 0.874
0.243 0.243 0.243
0.757 0.757 0.757
0.500 0.500 0.500
```

---

> calculated formation energy of number 2 (Sc6In3Pt)?

-0.5261 eV/atom

---

> Among the records above, which one has the highest theoretical density?

Rh2PbW